Computed, not measured: a geometry-optimized Ta2SiIr structure at the PBE-GGA level of DFT.

```
data_Ta2SiIr
_space_group_name_H-M_alt 'R -3 m'
_space_group_IT_number 166
_space_group_name_Hall '-R 3 2"'
_cell_length_a 2.8843
_cell_length_b 2.8843
_cell_length_c 26.8275
_cell_angle_alpha 90.00
_cell_angle_beta 90.00
_cell_angle_gamma 120.00
loop_
_atom_site_label
_atom_site_type_symbol
_atom_site_fract_x
_atom_site_fract_y
_atom_site_fract_z
Ta1 Ta 0.0000 0.0000 0.2492
Si1 Si 0.0000 0.0000 0.5000
Ir1 Ir 0.0000 0.0000 0.0000
```

Calculated values
Formation energy without anion corrections = -0.7 eV per formula unit
E_tot = -0.7108 Ry/atom

---

Computed, not measured: a geometry-optimized SrTlTc structure at the PBE-GGA level of DFT.

```
data_SrTlTc
_space_group_name_H-M_alt 'P -6 m 2'
_space_group_IT_number 187
_space_group_name_Hall 'P -6 2'
_cell_length_a 4.7862
_cell_length_b 4.7862
_cell_length_c 4.1239
_cell_angle_alpha 90.00
_cell_angle_beta 90.00
_cell_angle_gamma 120.00
loop_
_atom_site_label
_atom_site_type_symbol
_atom_site_fract_x
_atom_site_fract_y
_atom_site_fract_z
Sr1 Sr 0.0000 0.0000 0.0000
Tl1 Tl 0.3333 0.6667 0.5000
Tc1 Tc 0.6667 0.3333 0.5000
```

Calculated values
Formation enthalpy at 0 K = 0.59 eV per atom
Distance to the lowest polymorph of the same formula = 0.0638 eV/atom
E_tot = -0.3100 Ry/atom

---

Computed, not measured: a geometry-optimized BeAl2Ni structure at the PBE-GGA level of DFT.

```
data_BeAl2Ni
_space_group_name_H-M_alt 'I -4 2 d'
_space_group_IT_number 122
_space_group_name_Hall 'I -4 2bw'
_cell_length_a 6.7960
_cell_length_b 6.7960
_cell_length_c 4.9341
_cell_angle_alpha 90.00
_cell_angle_beta 90.00
_cell_angle_gamma 90.00
loop_
_atom_site_label
_atom_site_type_symbol
_atom_site_fract_x
_atom_site_fract_y
_atom_site_fract_z
Be1 Be 0.0000 0.0000 0.0000
Al1 Al 0.2272 0.7500 0.6250
Ni1 Ni 0.0000 0.0000 0.5000
```

Calculated values
Formation enthalpy at 0 K = 0.30 eV per atom
E_tot = -0.2902 Ry/atom

---

Computed, not measured: a geometry-optimized LiTlSnPb structure at the PBE-GGA level of DFT.

```
data_LiTlSnPb
_space_group_name_H-M_alt 'P 4 m m'
_space_group_IT_number 99
_space_group_name_Hall 'P 4 -2'
_cell_length_a 3.4142
_cell_length_b 3.4142
_cell_length_c 8.9230
_cell_angle_alpha 90.00
_cell_angle_beta 90.00
_cell_angle_gamma 90.00
loop_
_atom_site_label
_atom_site_type_symbol
_atom_site_fract_x
_atom_site_fract_y
_atom_site_fract_z
Li1 Li 0.0000 0.0000 0.0000
Tl1 Tl 0.0000 0.0000 0.5260
Sn1 Sn 0.5000 0.5000 0.8129
Pb1 Pb 0.5000 0.5000 0.2109
```

Calculated values
Formation enthalpy at 0 K = -0.12 eV per atom
Distance to the lowest polymorph of the same formula = 0.0000 eV/atom
E_tot = -0.2292 Ry/atom